An optimized crystal structure of Y2ZnRe. Source: Alexandria, functional PBE-GGA.

## Properties
SG   I-4m2
ΔH_f (0 K)   0.20 eV per atom

Cell lengths 5.465, 5.465, 5.465 Å; angles 133.53, 133.53, 67.83 degrees
Fractional coordinates of all 4 atoms:
Zn 0.500 0.500 0.000
Y 0.000 0.000 0.000
Y 0.250 0.750 0.500
Re 0.750 0.250 0.500

An optimized crystal structure of CePrMgAu. Source: Alexandria, functional PBE-GGA.

## Properties
SG   F-43m
ΔH_f (0 K)   -0.25 eV per atom

Cell lengths 5.359, 5.359, 5.359 Å; angles 60.00, 60.00, 60.00 degrees
Site moments in Bohr magnetons follow the coordinates.
Fractional coordinates of all 4 atoms:
Pr 0.500 0.500 0.500  0.15
Au 0.750 0.750 0.750  0.02
Mg 0.250 0.250 0.250  0.00
Ce 0.000 0.000 0.000  0.88

An optimized crystal structure of HfBe2Nb. Source: Alexandria, functional PBE-GGA.

## Properties
SG   Fm-3m
Offset from the most stable computed form   21.9 meV/atom
ΔH_f (0 K)   0.00 eV per atom

Cell lengths 4.333, 4.333, 4.333 Å; angles 60.00, 60.00, 60.00 degrees
Fractional coordinates of all 4 atoms:
Be 0.250 0.250 0.250
Be 0.750 0.750 0.750
Hf 0.500 0.500 0.500
Nb 0.000 0.000 0.000

An optimized crystal structure of SmGd2Pt. Source: Alexandria, functional PBE-GGA.

## Properties
SG   R-3m
Offset from the most stable computed form   73.8 meV/atom
ΔH_f (0 K)   -0.49 eV per atom

Cell lengths 3.854, 3.854, 9.799 Å; angles 78.66, 78.66, 60.00 degrees
Site moments in Bohr magnetons follow the coordinates.
Fractional coordinates of all 4 atoms:
Gd 0.729 0.729 0.814  -7.03
Gd 0.271 0.271 0.186  -7.03
Sm 0.500 0.500 0.500  0.03
Pt 0.000 0.000 0.000  0.01

An optimized crystal structure of NaSrV. Source: Alexandria, functional PBE-GGA.

## Properties
SG   P1
Offset from the most stable computed form   185.9 meV/atom
ΔH_f (0 K)   0.58 eV per atom

Cell lengths 10.201, 3.471, 6.776 Å; angles 120.48, 68.35, 104.39 degrees
Fractional coordinates of all 6 atoms:
Sr 0.677 0.077 0.673
Sr 0.948 0.654 0.041
Na 0.157 0.653 0.438
Na 0.338 0.373 0.849
V 0.638 0.040 0.193
V 0.469 0.283 0.280

An optimized crystal structure of Li2CuAg. Source: Alexandria, functional PBE-GGA.

## Properties
SG   P2/m
ΔH_f (0 K)   -0.09 eV per atom

Cell lengths 3.764, 2.800, 6.175 Å; angles 64.75, 90.00, 90.00 degrees
Fractional coordinates of all 4 atoms:
Li 0.000 0.489 0.512
Li 0.000 0.011 0.988
Cu 0.500 0.750 0.750
Ag 0.500 0.250 0.250